## w
{
  "formula": "BeZnP2O",
  "functional": "PBE",
  "state": "relaxed",
  "lattice_angstrom": [[4.8303, 0.0000, 0.0000], [0.0000, 4.8303, 0.0000], [0.0000, 0.0000, 3.5152]],
  "species": ["P", "P", "Zn", "O", "Be"],
  "frac_coords": [[0.0000, 0.5000, 0.0000], [0.5000, 0.0000, 0.0000], [0.0000, 0.0000, 0.0000], [0.0000, 0.0000, 0.5000], [0.5000, 0.5000, 0.5000]],
  "sg": "P4/mmm (123)",
  "vol_a3_per_atom": 16.40
}


## x
{
  "formula": "BeZnP2O",
  "functional": "PBE",
  "state": "relaxed",
  "lattice_angstrom": [[-1.0743, 3.0721, -3.6949], [-4.4256, 0.8424, 1.9871], [1.0985, 2.2033, 1.5125]],
  "species": ["P", "P", "Zn", "O", "Be"],
  "frac_coords": [[0.0000, 0.5000, 0.0000], [0.5000, 0.0000, 0.0000], [0.5000, 0.5000, 0.5000], [0.0000, 0.0000, 0.5000], [0.0000, 0.0000, 0.0000]],
  "sg": "P4/mmm (123)",
  "vol_a3_per_atom": 14.01
}


Of them, x has the highest stability.


## w
{
  "formula": "Be3PdO",
  "functional": "PBE",
  "state": "relaxed",
  "lattice_angstrom": [[3.5824, 0.0000, 0.0000], [0.0000, 3.5824, 0.0000], [0.0000, 0.0000, 3.5824]],
  "species": ["Be", "Be", "Be", "O", "Pd"],
  "frac_coords": [[0.0000, 0.5000, 0.0000], [0.0000, 0.0000, 0.5000], [0.5000, 0.0000, 0.0000], [0.0000, 0.0000, 0.0000], [0.5000, 0.5000, 0.5000]],
  "sg": "Pm-3m (221)",
  "vol_a3_per_atom": 9.19
}


## x
{
  "formula": "Be3PdO",
  "functional": "PBE",
  "state": "relaxed",
  "lattice_angstrom": [[-0.2761, -0.3985, 4.1595], [-3.6769, -1.9571, -0.4316], [1.9850, -3.6807, -0.2208]],
  "species": ["Be", "Be", "Be", "O", "Pd"],
  "frac_coords": [[0.0000, 0.5000, 0.0000], [0.0000, 0.0000, 0.5000], [0.5000, 0.0000, 0.0000], [0.5000, 0.5000, 0.5000], [0.0000, 0.0000, 0.0000]],
  "sg": "Pm-3m (221)",
  "vol_a3_per_atom": 14.69
}


Of them, w has the highest stability.